This record from Alexandria via LeMat-Bulk describes a relaxed Rb2MgSi crystal. The functional is PBE-GGA.

Summary:
Spin magnetization in μB/atom: 0.38
ΔE_f (raw) in eV/atom: 0.575

```
data_Rb2MgSi
_cell_length_a 8.663
_cell_length_b 8.663
_cell_length_c 8.663
_cell_angle_alpha 90.00
_cell_angle_beta 90.00
_cell_angle_gamma 90.00
_symmetry_space_group_name_H-M 'F m -3 m'
_symmetry_Int_Tables_number 225
_symmetry_space_group_name_Hall '-F 4 2 3'
loop_
_atom_site_label
_atom_site_fract_x
_atom_site_fract_y
_atom_site_fract_z
Rb1 0.250 0.250 0.250
Mg1 0.000 0.000 0.000
Si1 0.000 0.000 0.500
```



This record from Alexandria via LeMat-Bulk describes a relaxed Li2AlSi crystal. The functional is PBE-GGA.

Summary:
Spin magnetization in μB/atom: 0.00
ΔE_f (raw) in eV/atom: -0.169

```
data_Li2AlSi
_cell_length_a 3.777
_cell_length_b 3.777
_cell_length_c 4.202
_cell_angle_alpha 90.00
_cell_angle_beta 90.00
_cell_angle_gamma 90.00
_symmetry_space_group_name_H-M 'P 4/m m m'
_symmetry_Int_Tables_number 123
_symmetry_space_group_name_Hall '-P 4 2'
loop_
_atom_site_label
_atom_site_fract_x
_atom_site_fract_y
_atom_site_fract_z
Li1 0.000 0.500 0.000
Al1 0.000 0.000 0.500
Si1 0.500 0.500 0.500
```



This record from Alexandria via LeMat-Bulk describes a relaxed PuZrV crystal. The functional is PBE-GGA.

Summary:
Spin magnetization in μB/atom: 1.17
E above lowest polymorph in meV per atom: 0
Formation energy in eV per atom: 0.244

```
data_PuZrV
_cell_length_a 3.334
_cell_length_b 3.334
_cell_length_c 10.520
_cell_angle_alpha 90.00
_cell_angle_beta 90.00
_cell_angle_gamma 90.00
_symmetry_space_group_name_H-M 'I 4 m m'
_symmetry_Int_Tables_number 107
_symmetry_space_group_name_Hall 'I 4 -2'
loop_
_atom_site_label
_atom_site_fract_x
_atom_site_fract_y
_atom_site_fract_z
Pu1 0.000 0.000 0.000
Zr1 0.000 0.000 0.692
V1 0.000 0.000 0.363
```



This record from Alexandria via LeMat-Bulk describes a relaxed Rb2YO crystal. The functional is PBE-GGA.

Summary:
Spin magnetization in μB/atom: 0.00
ΔE_f (raw) in eV/atom: -0.904

```
data_Rb2YO
_cell_length_a 13.714
_cell_length_b 13.714
_cell_length_c 4.293
_cell_angle_alpha 90.00
_cell_angle_beta 90.00
_cell_angle_gamma 90.00
_symmetry_space_group_name_H-M 'I -4 2 d'
_symmetry_Int_Tables_number 122
_symmetry_space_group_name_Hall 'I -4 2bw'
loop_
_atom_site_label
_atom_site_fract_x
_atom_site_fract_y
_atom_site_fract_z
Rb1 0.087 0.750 0.125
Y1 0.000 0.000 0.500
O1 0.000 0.000 0.000
```



This record from Alexandria via LeMat-Bulk describes a relaxed UZnAu2 crystal. The functional is PBE-GGA.

Summary:
Spin magnetization in μB/atom: 0.75
Formation energy in eV per atom: -0.165

```
data_UZnAu2
_cell_length_a 3.121
_cell_length_b 3.121
_cell_length_c 7.811
_cell_angle_alpha 90.00
_cell_angle_beta 90.00
_cell_angle_gamma 90.00
_symmetry_space_group_name_H-M 'P 4/m m m'
_symmetry_Int_Tables_number 123
_symmetry_space_group_name_Hall '-P 4 2'
loop_
_atom_site_label
_atom_site_fract_x
_atom_site_fract_y
_atom_site_fract_z
U1 0.000 0.000 0.000
Zn1 0.000 0.000 0.500
Au1 0.500 0.500 0.286
```



This record from Alexandria via LeMat-Bulk describes a relaxed EuNpHgBi crystal. The functional is PBE-GGA.

Summary:
Spin magnetization in μB/atom: 0.48
Formation energy in eV per atom: -0.116

```
data_EuNpHgBi
_cell_length_a 7.802
_cell_length_b 7.802
_cell_length_c 7.802
_cell_angle_alpha 90.00
_cell_angle_beta 90.00
_cell_angle_gamma 90.00
_symmetry_space_group_name_H-M 'F -4 3 m'
_symmetry_Int_Tables_number 216
_symmetry_space_group_name_Hall 'F -4 2 3'
loop_
_atom_site_label
_atom_site_fract_x
_atom_site_fract_y
_atom_site_fract_z
Eu1 0.000 0.000 0.000
Np1 0.000 0.000 0.500
Hg1 0.250 0.250 0.250
Bi1 0.250 0.250 0.750
```



This record from Alexandria via LeMat-Bulk describes a relaxed Dy6Th3Sc2 crystal. The functional is PBE-GGA.

Summary:
Spin magnetization in μB/atom: 0.00
Formation energy in eV per atom: 0.189

```
data_Dy6Th3Sc2
_cell_length_a 5.883
_cell_length_b 11.245
_cell_length_c 10.526
_cell_angle_alpha 90.00
_cell_angle_beta 97.81
_cell_angle_gamma 90.00
_symmetry_space_group_name_H-M 'C 1 2/m 1'
_symmetry_Int_Tables_number 12
loop_
_symmetry_equiv_pos_as_xyz
'x,y,z'
'-x,-y,-z'
'-x,y,-z'
'x,-y,z'
'x+1/2,y+1/2,z'
'-x+1/2,-y+1/2,-z'
'-x+1/2,y+1/2,-z'
'x+1/2,-y+1/2,z'
loop_
_atom_site_label
_atom_site_fract_x
_atom_site_fract_y
_atom_site_fract_z
Dy1 0.067 0.155 0.203
Dy2 0.087 0.500 0.264
Th1 0.000 0.000 0.500
Th2 0.000 0.320 0.500
Sc1 0.000 0.363 0.000
```



This record from Alexandria via LeMat-Bulk describes a relaxed LaHg3As crystal. The functional is PBE-GGA.

Summary:
Spin magnetization in μB/atom: 0.03
E above lowest polymorph in meV per atom: 608
Formation energy in eV per atom: 0.714

```
data_LaHg3As
_cell_length_a 6.085
_cell_length_b 6.085
_cell_length_c 6.085
_cell_angle_alpha 90.00
_cell_angle_beta 90.00
_cell_angle_gamma 90.00
_symmetry_space_group_name_H-M 'P m -3 m'
_symmetry_Int_Tables_number 221
_symmetry_space_group_name_Hall '-P 4 2 3'
loop_
_atom_site_label
_atom_site_fract_x
_atom_site_fract_y
_atom_site_fract_z
La1 0.000 0.000 0.000
Hg1 0.000 0.000 0.500
As1 0.500 0.500 0.500
```



This record from Alexandria via LeMat-Bulk describes a relaxed BaSc2Te crystal. The functional is PBE-GGA.

Summary:
Spin magnetization in μB/atom: 0.22
ΔE_f (raw) in eV/atom: -0.195

```
data_BaSc2Te
_cell_length_a 3.944
_cell_length_b 5.269
_cell_length_c 5.689
_cell_angle_alpha 90.00
_cell_angle_beta 90.00
_cell_angle_gamma 90.00
_symmetry_space_group_name_H-M 'P m m m'
_symmetry_Int_Tables_number 47
loop_
_symmetry_equiv_pos_as_xyz
'x,y,z'
'-x,-y,-z'
'-x,-y,z'
'x,y,-z'
'x,-y,-z'
'-x,y,z'
'-x,y,-z'
'x,-y,z'
loop_
_atom_site_label
_atom_site_fract_x
_atom_site_fract_y
_atom_site_fract_z
Ba1 0.000 0.000 0.000
Sc1 0.000 0.500 0.500
Sc2 0.500 0.500 0.000
Te1 0.500 0.000 0.500
```



This record from Alexandria via LeMat-Bulk describes a relaxed MgTi2O4 crystal. The functional is PBE-GGA.

Summary:
Spin magnetization in μB/atom: 0.10
E above lowest polymorph in meV per atom: 25
ΔE_f (raw) in eV/atom: -2.798

```
data_MgTi2O4
_cell_length_a 5.9302
_cell_length_b 5.9302
_cell_length_c 15.2419
_cell_angle_alpha 90.00
_cell_angle_beta 90.00
_cell_angle_gamma 120.00
_symmetry_space_group_name_H-M 'R 3 m'
_symmetry_Int_Tables_number 160
_symmetry_space_group_name_Hall 'R 3 -2"'
loop_
_atom_site_label
_atom_site_fract_x
_atom_site_fract_y
_atom_site_fract_z
Mg1 0.0000 0.0000 0.0000
Mg2 0.0000 0.0000 0.3666
Ti1 0.0000 0.0000 0.7512
Ti2 0.1721 0.3441 0.2066
O1 0.0000 0.0000 0.1318
O2 0.0000 0.0000 0.6287
O3 0.0159 0.5080 0.1223
O4 0.1764 0.3527 0.9475
```



This record from Alexandria via LeMat-Bulk describes a relaxed AlIrOs crystal. The functional is PBE-GGA.

Summary:
Spin magnetization in μB/atom: 0.00
E above lowest polymorph in meV per atom: 17
Formation energy in eV per atom: -0.264

```
data_AlIrOs
_cell_length_a 2.7702
_cell_length_b 2.7702
_cell_length_c 6.4298
_cell_angle_alpha 90.00
_cell_angle_beta 90.00
_cell_angle_gamma 120.00
_symmetry_space_group_name_H-M 'P 3 m 1'
_symmetry_Int_Tables_number 156
loop_
_symmetry_equiv_pos_as_xyz
'x,y,z'
'-y,x-y,z'
'-x+y,-x,z'
'-y,-x,z'
'-x+y,y,z'
'x,x-y,z'
loop_
_atom_site_label
_atom_site_fract_x
_atom_site_fract_y
_atom_site_fract_z
Al1 0.0000 0.0000 0.0000
Ir1 0.6667 0.3333 0.3242
Os1 0.3333 0.6667 0.6692
```



This record from Alexandria via LeMat-Bulk describes a relaxed ZnCo2Hg crystal. The functional is PBE-GGA.

Summary:
Spin magnetization in μB/atom: 0.60
Formation energy in eV per atom: 0.358

```
data_ZnCo2Hg
_cell_length_a 5.421
_cell_length_b 7.415
_cell_length_c 2.825
_cell_angle_alpha 90.00
_cell_angle_beta 90.00
_cell_angle_gamma 90.00
_symmetry_space_group_name_H-M 'C m m m'
_symmetry_Int_Tables_number 65
_symmetry_space_group_name_Hall '-C 2 2'
loop_
_atom_site_label
_atom_site_fract_x
_atom_site_fract_y
_atom_site_fract_z
Zn1 0.000 0.000 0.000
Co1 0.250 0.250 0.500
Hg1 0.000 0.500 0.000
```



This record from Alexandria via LeMat-Bulk describes a relaxed PdPtRh2N crystal. The functional is PBE-GGA.

Summary:
Spin magnetization in μB/atom: 0.00
ΔE_f (raw) in eV/atom: 0.306

```
data_PdPtRh2N
_cell_length_a 4.029
_cell_length_b 4.029
_cell_length_c 4.234
_cell_angle_alpha 90.00
_cell_angle_beta 90.00
_cell_angle_gamma 90.00
_symmetry_space_group_name_H-M 'P 4/m m m'
_symmetry_Int_Tables_number 123
_symmetry_space_group_name_Hall '-P 4 2'
loop_
_atom_site_label
_atom_site_fract_x
_atom_site_fract_y
_atom_site_fract_z
Pd1 0.000 0.000 0.000
Pt1 0.500 0.500 0.000
Rh1 0.000 0.500 0.500
N1 0.000 0.000 0.500
```



This record from Alexandria via LeMat-Bulk describes a relaxed Nd5Y4Mg crystal. The functional is PBE-GGA.

Summary:
Spin magnetization in μB/atom: 0.00
Formation energy in eV per atom: -0.004

```
data_Nd5Y4Mg
_cell_length_a 3.654
_cell_length_b 3.654
_cell_length_c 24.720
_cell_angle_alpha 90.00
_cell_angle_beta 90.00
_cell_angle_gamma 90.00
_symmetry_space_group_name_H-M 'P 4/m m m'
_symmetry_Int_Tables_number 123
_symmetry_space_group_name_Hall '-P 4 2'
loop_
_atom_site_label
_atom_site_fract_x
_atom_site_fract_y
_atom_site_fract_z
Nd1 0.000 0.000 0.000
Nd2 0.000 0.000 0.205
Nd3 0.000 0.000 0.411
Y1 0.500 0.500 0.103
Y2 0.500 0.500 0.308
Mg1 0.500 0.500 0.500
```



This record from Alexandria via LeMat-Bulk describes a relaxed LaAlCd crystal. The functional is PBE-GGA.

Summary:
Spin magnetization in μB/atom: 0.00
Formation energy in eV per atom: -0.396

```
data_LaAlCd
_cell_length_a 4.835
_cell_length_b 3.813
_cell_length_c 8.477
_cell_angle_alpha 90.00
_cell_angle_beta 90.00
_cell_angle_gamma 90.00
_symmetry_space_group_name_H-M 'P m m a'
_symmetry_Int_Tables_number 51
loop_
_symmetry_equiv_pos_as_xyz
'x,y,z'
'-x,-y,-z'
'-x+1/2,-y,z'
'x+1/2,y,-z'
'x+1/2,-y,-z'
'-x+1/2,y,z'
'-x,y,-z'
'x,-y,z'
loop_
_atom_site_label
_atom_site_fract_x
_atom_site_fract_y
_atom_site_fract_z
La1 0.250 0.000 0.233
Al1 0.250 0.500 0.920
Cd1 0.250 0.500 0.588
```



This record from Alexandria via LeMat-Bulk describes a relaxed MnV2Hg crystal. The functional is PBE-GGA.

Summary:
Spin magnetization in μB/atom: 0.43
Formation energy in eV per atom: 0.723

```
data_MnV2Hg
_cell_length_a 3.711
_cell_length_b 3.711
_cell_length_c 19.090
_cell_angle_alpha 90.00
_cell_angle_beta 90.00
_cell_angle_gamma 90.00
_symmetry_space_group_name_H-M 'I -4 2 d'
_symmetry_Int_Tables_number 122
_symmetry_space_group_name_Hall 'I -4 2bw'
loop_
_atom_site_label
_atom_site_fract_x
_atom_site_fract_y
_atom_site_fract_z
Mn1 0.000 0.000 0.000
V1 0.232 0.250 0.125
Hg1 0.000 0.000 0.500
```



This record from Alexandria via LeMat-Bulk describes a relaxed Pm6Tm2In crystal. The functional is PBE-GGA.

Summary:
Spin magnetization in μB/atom: 0.00
E above lowest polymorph in meV per atom: 0
Formation energy in eV per atom: -0.041

```
data_Pm6Tm2In
_cell_length_a 20.814
_cell_length_b 9.237
_cell_length_c 6.274
_cell_angle_alpha 90.00
_cell_angle_beta 107.49
_cell_angle_gamma 90.00
_symmetry_space_group_name_H-M 'C 1 2/c 1'
_symmetry_Int_Tables_number 15
loop_
_symmetry_equiv_pos_as_xyz
'x,y,z'
'-x,-y,-z'
'-x,y,-z+1/2'
'x,-y,z+1/2'
'x+1/2,y+1/2,z'
'-x+1/2,-y+1/2,-z'
'-x+1/2,y+1/2,-z+1/2'
'x+1/2,-y+1/2,z+1/2'
loop_
_atom_site_label
_atom_site_fract_x
_atom_site_fract_y
_atom_site_fract_z
Pm1 0.079 0.072 0.222
Pm2 0.079 0.428 0.439
Pm3 0.169 0.250 0.919
Tm1 0.250 0.078 0.572
In1 0.000 0.249 0.750
```



This record from Alexandria via LeMat-Bulk describes a relaxed LiCaMgCd2 crystal. The functional is PBE-GGA.

Summary:
Spin magnetization in μB/atom: 0.00
Formation energy in eV per atom: 0.138

```
data_LiCaMgCd2
_cell_length_a 4.993
_cell_length_b 4.993
_cell_length_c 5.223
_cell_angle_alpha 90.00
_cell_angle_beta 90.00
_cell_angle_gamma 90.00
_symmetry_space_group_name_H-M 'P 4/m m m'
_symmetry_Int_Tables_number 123
_symmetry_space_group_name_Hall '-P 4 2'
loop_
_atom_site_label
_atom_site_fract_x
_atom_site_fract_y
_atom_site_fract_z
Li1 0.000 0.000 0.000
Ca1 0.000 0.000 0.500
Mg1 0.500 0.500 0.500
Cd1 0.000 0.500 0.000
```



This record from Alexandria via LeMat-Bulk describes a relaxed NdEr2CrN4 crystal. The functional is PBE-GGA.

Summary:
Spin magnetization in μB/atom: 0.21
ΔE_f (raw) in eV/atom: -1.281

```
data_NdEr2CrN4
_cell_length_a 3.391
_cell_length_b 11.529
_cell_length_c 11.525
_cell_angle_alpha 90.00
_cell_angle_beta 90.00
_cell_angle_gamma 90.00
_symmetry_space_group_name_H-M 'C m c m'
_symmetry_Int_Tables_number 63
_symmetry_space_group_name_Hall '-C 2c 2'
loop_
_atom_site_label
_atom_site_fract_x
_atom_site_fract_y
_atom_site_fract_z
Nd1 0.000 0.096 0.250
Er1 0.000 0.369 0.043
Cr1 0.000 0.167 0.750
N1 0.000 0.000 0.000
N2 0.000 0.264 0.626
N3 0.000 0.422 0.250
```



This record from Alexandria via LeMat-Bulk describes a relaxed Pr2GaSb crystal. The functional is PBE-GGA.

Summary:
Spin magnetization in μB/atom: 0.00
E above lowest polymorph in meV per atom: 7
ΔE_f (raw) in eV/atom: -0.843

```
data_Pr2GaSb
_cell_length_a 4.580
_cell_length_b 24.620
_cell_length_c 4.400
_cell_angle_alpha 90.00
_cell_angle_beta 90.00
_cell_angle_gamma 90.00
_symmetry_space_group_name_H-M 'C m c m'
_symmetry_Int_Tables_number 63
_symmetry_space_group_name_Hall '-C 2c 2'
loop_
_atom_site_label
_atom_site_fract_x
_atom_site_fract_y
_atom_site_fract_z
Pr1 0.000 0.061 0.250
Pr2 0.000 0.318 0.250
Ga1 0.000 0.466 0.250
Sb1 0.000 0.188 0.250
```



This record from Alexandria via LeMat-Bulk describes a relaxed K2BaRe crystal. The functional is PBE-GGA.

Summary:
Spin magnetization in μB/atom: 0.69
E above lowest polymorph in meV per atom: 198
Formation energy in eV per atom: 1.314

```
data_K2BaRe
_cell_length_a 8.459
_cell_length_b 8.459
_cell_length_c 8.459
_cell_angle_alpha 90.00
_cell_angle_beta 90.00
_cell_angle_gamma 90.00
_symmetry_space_group_name_H-M 'F -4 3 m'
_symmetry_Int_Tables_number 216
_symmetry_space_group_name_Hall 'F -4 2 3'
loop_
_atom_site_label
_atom_site_fract_x
_atom_site_fract_y
_atom_site_fract_z
K1 0.000 0.000 0.000
K2 0.250 0.250 0.250
Ba1 0.000 0.000 0.500
Re1 0.250 0.250 0.750
```



This record from Alexandria via LeMat-Bulk describes a relaxed BSI2 crystal. The functional is PBE-GGA.

Summary:
Spin magnetization in μB/atom: 0.00
E above lowest polymorph in meV per atom: 554
ΔE_f (raw) in eV/atom: 1.581

```
data_BSI2
_cell_length_a 7.172
_cell_length_b 7.172
_cell_length_c 7.172
_cell_angle_alpha 90.00
_cell_angle_beta 90.00
_cell_angle_gamma 90.00
_symmetry_space_group_name_H-M 'F m -3 m'
_symmetry_Int_Tables_number 225
_symmetry_space_group_name_Hall '-F 4 2 3'
loop_
_atom_site_label
_atom_site_fract_x
_atom_site_fract_y
_atom_site_fract_z
B1 0.000 0.000 0.000
S1 0.000 0.000 0.500
I1 0.250 0.250 0.250
```



This record from Alexandria via LeMat-Bulk describes a relaxed LiAg3I4 crystal. The functional is PBE-GGA.

Summary:
Spin magnetization in μB/atom: 0.00
ΔE_f (raw) in eV/atom: -0.496

```
data_LiAg3I4
_cell_length_a 6.582
_cell_length_b 6.582
_cell_length_c 13.108
_cell_angle_alpha 90.00
_cell_angle_beta 90.00
_cell_angle_gamma 90.00
_symmetry_space_group_name_H-M 'I -4 2 m'
_symmetry_Int_Tables_number 121
_symmetry_space_group_name_Hall 'I -4 2'
loop_
_atom_site_label
_atom_site_fract_x
_atom_site_fract_y
_atom_site_fract_z
Li1 0.000 0.000 0.000
Ag1 0.000 0.000 0.500
Ag2 0.000 0.500 0.250
I1 0.245 0.245 0.877
```